<w>
Material: BaSrYNbO6
Method: DFT, PBE
State: relaxed

abc: 5.980 5.988 8.455
angles: 89.79 89.83 89.75
Fractional coordinates of all 20 atoms:
1 Ba 0.005 0.015 0.250
2 Ba 0.995 0.985 0.750
3 Sr 0.499 0.522 0.249
4 Sr 0.501 0.478 0.751
5 Y 0.000 0.500 0.000
6 Y 0.500 0.000 0.500
7 Nb 0.000 0.500 0.500
8 Nb 0.500 0.000 0.000
9 O 0.068 0.484 0.736
10 O 0.211 0.761 0.480
11 O 0.236 0.791 0.016
12 O 0.264 0.293 0.456
13 O 0.298 0.269 0.043
14 O 0.450 0.042 0.764
15 O 0.550 0.958 0.236
16 O 0.702 0.731 0.957
17 O 0.736 0.707 0.544
18 O 0.764 0.209 0.984
19 O 0.789 0.239 0.520
20 O 0.932 0.516 0.264

**V**: 303 Å³/cell

<x>
Material: BaSrYNbO6
Method: DFT, PBE
State: relaxed

abc: 6.015 6.015 6.015
angles: 60.00 60.00 60.00
Fractional coordinates of all 10 atoms:
1 Ba 0.000 0.000 0.000
2 Sr 0.500 0.500 0.500
3 Y 0.750 0.750 0.750
4 Nb 0.250 0.250 0.250
5 O 0.013 0.013 0.487
6 O 0.013 0.487 0.013
7 O 0.013 0.487 0.487
8 O 0.487 0.013 0.013
9 O 0.487 0.013 0.487
10 O 0.487 0.487 0.013

**V**: 154 Å³/cell

Result of the stability comparison: <x> is the least stable of them.

<w>
Material: BaNbOs3
Method: DFT, PBE
State: relaxed

abc: 4.913 4.913 4.913
angles: 90.00 90.00 90.00
Fractional coordinates of all 5 atoms:
1 Ba 0.000 0.000 0.000
2 Nb 0.500 0.500 0.500
3 Os 0.000 0.500 0.500
4 Os 0.500 0.000 0.500
5 Os 0.500 0.500 0.000

**V**: 119 Å³/cell

<x>
Material: BaNbOs3
Method: DFT, PBE
State: relaxed

abc: 4.897 4.897 4.897
angles: 90.00 90.00 90.00
Fractional coordinates of all 5 atoms:
1 Ba 0.000 0.000 0.000
2 Nb 0.500 0.500 0.500
3 Os 0.000 0.000 0.500
4 Os 0.000 0.500 0.000
5 Os 0.500 0.000 0.000

**V**: 117 Å³/cell

Result of the stability comparison: <x> is the least stable of them.

<w>
Material: BaNbOsPt2
Method: DFT, PBE
State: relaxed

abc: 5.104 5.104 5.032
angles: 90.00 90.00 90.00
Fractional coordinates of all 5 atoms:
1 Ba 0.000 0.000 0.000
2 Nb 0.500 0.500 0.500
3 Os 0.000 0.000 0.500
4 Pt 0.000 0.500 0.000
5 Pt 0.500 0.000 0.000

**V**: 131 Å³/cell

<x>
Material: BaNbOsPt2
Method: DFT, PBE
State: relaxed

abc: 5.100 5.100 4.798
angles: 90.00 90.00 90.00
Fractional coordinates of all 5 atoms:
1 Ba 0.000 0.000 0.000
2 Nb 0.500 0.500 0.500
3 Os 0.500 0.500 0.000
4 Pt 0.000 0.500 0.500
5 Pt 0.500 0.000 0.500

**V**: 125 Å³/cell

Result of the stability comparison: <w> is the least stable of them.

<w>
Material: BaNbP2
Method: DFT, PBE
State: relaxed

abc: 6.679 6.679 6.679
angles: 113.69 113.69 101.33
Fractional coordinates of all 8 atoms:
1 Ba 0.000 0.000 0.000
2 Ba 0.750 0.250 0.500
3 Nb 0.250 0.750 0.500
4 Nb 0.500 0.500 0.000
5 P 0.213 0.625 0.088
6 P 0.375 0.463 0.588
7 P 0.537 0.125 0.912
8 P 0.875 0.787 0.412

**V**: 226 Å³/cell

<x>
Material: BaNbP2
Method: DFT, PBE
State: relaxed

abc: 4.960 4.960 4.960
angles: 60.00 60.00 60.00
Fractional coordinates of all 4 atoms:
1 Ba 0.000 0.000 0.000
2 Nb 0.500 0.500 0.500
3 P 0.250 0.250 0.250
4 P 0.750 0.750 0.750

**V**: 86 Å³/cell

Result of the stability comparison: <x> is the least stable of them.

<w>
Material: BaNbPS2
Method: DFT, PBE
State: relaxed

abc: 4.932 4.932 4.907
angles: 90.00 90.00 90.00
Fractional coordinates of all 5 atoms:
1 Ba 0.000 0.000 0.000
2 Nb 0.500 0.500 0.500
3 P 0.500 0.500 0.000
4 S 0.000 0.500 0.500
5 S 0.500 0.000 0.500

**V**: 119 Å³/cell

<x>
Material: BaNbPS2
Method: DFT, PBE
State: relaxed

abc: 5.477 5.477 5.407
angles: 90.00 90.00 90.00
Fractional coordinates of all 5 atoms:
1 Ba 0.000 0.000 0.000
2 Nb 0.500 0.500 0.500
3 P 0.000 0.000 0.500
4 S 0.000 0.500 0.000
5 S 0.500 0.000 0.000

**V**: 162 Å³/cell

Result of the stability comparison: <x> is the least stable of them.

<w>
Material: BaNbPd2
Method: DFT, PBE
State: relaxed

abc: 5.036 5.036 5.036
angles: 60.00 60.00 60.00
Fractional coordinates of all 4 atoms:
1 Ba 0.000 0.000 0.000
2 Nb 0.500 0.500 0.500
3 Pd 0.250 0.250 0.250
4 Pd 0.750 0.750 0.750

**V**: 90 Å³/cell

<x>
Material: BaNbPd2
Method: DFT, PBE
State: relaxed

abc: 6.505 6.505 6.505
angles: 106.55 106.55 115.49
Fractional coordinates of all 8 atoms:
1 Ba 0.000 0.000 0.000
2 Ba 0.750 0.250 0.500
3 Nb 0.250 0.750 0.500
4 Nb 0.500 0.500 0.000
5 Pd 0.198 0.625 0.073
6 Pd 0.375 0.448 0.573
7 Pd 0.552 0.125 0.927
8 Pd 0.875 0.802 0.427

**V**: 210 Å³/cell

Result of the stability comparison: <w> is the least stable of them.

<w>
Material: Ba2Nb2Pt
Method: DFT, PBE
State: relaxed

abc: 10.925 10.925 10.925
angles: 160.18 160.18 28.18
Fractional coordinates of all 5 atoms:
1 Ba 0.090 0.090 0.000
2 Ba 0.910 0.910 0.000
3 Nb 0.250 0.750 0.500
4 Nb 0.750 0.250 0.500
5 Pt 0.500 0.500 0.000

**V**: 150 Å³/cell

<x>
Material: Ba2Nb2Pt
Method: DFT, PBE
State: relaxed

abc: 9.572 9.572 3.591
angles: 90.00 90.00 90.00
Fractional coordinates of all 10 atoms:
1 Ba 0.211 0.289 0.000
2 Ba 0.289 0.789 0.000
3 Ba 0.711 0.211 0.000
4 Ba 0.789 0.711 0.000
5 Nb 0.080 0.580 0.500
6 Nb 0.420 0.080 0.500
7 Nb 0.580 0.920 0.500
8 Nb 0.920 0.420 0.500
9 Pt 0.000 0.000 0.000
10 Pt 0.500 0.500 0.000

**V**: 329 Å³/cell

Result of the stability comparison: <x> is the least stable of them.

<w>
Material: BaNbPt3
Method: DFT, PBE
State: relaxed

abc: 5.035 5.035 5.035
angles: 90.00 90.00 90.00
Fractional coordinates of all 5 atoms:
1 Ba 0.000 0.000 0.000
2 Nb 0.500 0.500 0.500
3 Pt 0.000 0.500 0.500
4 Pt 0.500 0.000 0.500
5 Pt 0.500 0.500 0.000

**V**: 128 Å³/cell

<x>
Material: BaNbPt3
Method: DFT, PBE
State: relaxed

abc: 5.197 5.197 5.197
angles: 90.00 90.00 90.00
Fractional coordinates of all 5 atoms:
1 Ba 0.000 0.000 0.000
2 Nb 0.500 0.500 0.500
3 Pt 0.000 0.000 0.500
4 Pt 0.000 0.500 0.000
5 Pt 0.500 0.000 0.000

**V**: 140 Å³/cell

Result of the stability comparison: <x> is the least stable of them.

<w>
Material: RbBaNb2
Method: DFT, PBE
State: relaxed

abc: 7.317 7.317 7.317
angles: 99.54 99.54 131.96
Fractional coordinates of all 8 atoms:
1 Rb 0.000 0.000 0.000
2 Rb 0.750 0.250 0.500
3 Ba 0.250 0.750 0.500
4 Ba 0.500 0.500 0.000
5 Nb 0.125 0.625 0.000
6 Nb 0.375 0.375 0.500
7 Nb 0.625 0.125 0.000
8 Nb 0.875 0.875 0.500

**V**: 266 Å³/cell

<x>
Material: RbBaNb2
Method: DFT, PBE
State: relaxed

abc: 5.438 5.438 5.438
angles: 60.00 60.00 60.00
Fractional coordinates of all 4 atoms:
1 Rb 0.000 0.000 0.000
2 Ba 0.500 0.500 0.500
3 Nb 0.250 0.250 0.250
4 Nb 0.750 0.750 0.750

**V**: 114 Å³/cell

Result of the stability comparison: <x> is the least stable of them.

<w>
Material: Rb3BaNb
Method: DFT, PBE
State: relaxed

abc: 7.109 7.109 7.109
angles: 90.00 90.00 90.00
Fractional coordinates of all 5 atoms:
1 Rb 0.000 0.000 0.500
2 Rb 0.000 0.500 0.000
3 Rb 0.500 0.000 0.000
4 Ba 0.500 0.500 0.500
5 Nb 0.000 0.000 0.000

**V**: 359 Å³/cell

<x>
Material: Rb3BaNb
Method: DFT, PBE
State: relaxed

abc: 7.506 7.506 7.506
angles: 90.00 90.00 90.00
Fractional coordinates of all 5 atoms:
1 Rb 0.000 0.000 0.500
2 Rb 0.000 0.500 0.000
3 Rb 0.500 0.000 0.000
4 Ba 0.000 0.000 0.000
5 Nb 0.500 0.500 0.500

**V**: 423 Å³/cell

Result of the stability comparison: <x> is the least stable of them.

<w>
Material: RbBaSc2Nb
Method: DFT, PBE
State: relaxed

abc: 5.283 5.283 6.402
angles: 90.00 90.00 90.00
Fractional coordinates of all 5 atoms:
1 Rb 0.000 0.000 0.000
2 Ba 0.500 0.500 0.000
3 Sc 0.000 0.500 0.500
4 Sc 0.500 0.000 0.500
5 Nb 0.000 0.000 0.500

**V**: 179 Å³/cell

<x>
Material: RbBaSc2Nb
Method: DFT, PBE
State: relaxed

abc: 5.171 5.171 5.748
angles: 90.00 90.00 90.00
Fractional coordinates of all 5 atoms:
1 Rb 0.000 0.000 0.000
2 Ba 0.000 0.000 0.500
3 Sc 0.000 0.500 0.000
4 Sc 0.500 0.000 0.000
5 Nb 0.500 0.500 0.500

**V**: 154 Å³/cell

Result of the stability comparison: <x> is the least stable of them.

<w>
Material: BaNb2Re
Method: DFT, PBE
State: relaxed

abc: 9.548 9.548 9.548
angles: 147.96 147.96 45.95
Fractional coordinates of all 8 atoms:
1 Ba 0.375 0.625 0.750
2 Ba 0.625 0.375 0.250
3 Nb 0.000 0.000 0.000
4 Nb 0.000 0.000 0.500
5 Nb 0.000 0.500 0.000
6 Nb 0.500 0.000 0.500
7 Re 0.125 0.875 0.250
8 Re 0.875 0.125 0.750

**V**: 244 Å³/cell

<x>
Material: BaNb2Re
Method: DFT, PBE
State: relaxed

abc: 4.852 4.852 4.852
angles: 60.00 60.00 60.00
Fractional coordinates of all 4 atoms:
1 Ba 0.000 0.000 0.000
2 Nb 0.250 0.250 0.250
3 Nb 0.750 0.750 0.750
4 Re 0.500 0.500 0.500

**V**: 81 Å³/cell

Result of the stability comparison: <w> is the least stable of them.